a) Below is AsSe2ICl after structural relaxation, with properties calculated at the PBE level.

```
AsSe2ICl
1.0
5.350 0.000 0.000
0.000 5.350 0.000
0.000 0.000 5.741
As Se I Cl
1 2 1 1
direct
0.000 0.000 0.000 As
0.000 0.500 0.500 Se
0.500 0.000 0.500 Se
0.000 0.000 0.500 I
0.500 0.500 0.000 Cl
```

Computed properties:
N(E_F) in states/eV per atom: 1.34
Space group: No. 123
Spin magnetization in μB/cell: 0.69


b) Below is AsSe2ICl after structural relaxation, with properties calculated at the PBE level.

```
AsSe2ICl
1.0
5.100 0.000 0.000
0.000 5.100 0.000
0.000 0.000 5.176
As Se I Cl
1 2 1 1
direct
0.000 0.000 0.000 As
0.000 0.500 0.500 Se
0.500 0.000 0.500 Se
0.500 0.500 0.000 I
0.000 0.000 0.500 Cl
```

Computed properties:
N(E_F) in states/eV per atom: 1.19
Space group: No. 123
Spin magnetization in μB/cell: 1.04


Structures ranked by computed energy, the most stable listed first: b), a).


a) Below is As2SeICl after structural relaxation, with properties calculated at the PBE level.

```
As2SeICl
1.0
5.030 0.000 0.000
0.000 5.030 0.000
0.000 0.000 5.247
As Se I Cl
2 1 1 1
direct
0.000 0.500 0.000 As
0.500 0.000 0.000 As
0.000 0.000 0.500 Se
0.500 0.500 0.500 I
0.000 0.000 0.000 Cl
```

Computed properties:
N(E_F) in states/eV per atom: 1.25
Space group: No. 123
Spin magnetization in μB/cell: 0.00


b) Below is As2SeICl after structural relaxation, with properties calculated at the PBE level.

```
As2SeICl
1.0
5.546 0.000 0.000
0.000 5.546 0.000
0.000 0.000 5.325
As Se I Cl
2 1 1 1
direct
0.000 0.500 0.000 As
0.500 0.000 0.000 As
0.000 0.000 0.500 Se
0.000 0.000 0.000 I
0.500 0.500 0.500 Cl
```

Computed properties:
N(E_F) in states/eV per atom: 1.05
Space group: No. 123
Spin magnetization in μB/cell: 1.34


Structures ranked by computed energy, the most stable listed first: a), b).


a) Below is In3AsCl after structural relaxation, with properties calculated at the PBE level.

```
In3AsCl
1.0
5.522 0.000 0.000
0.000 5.522 0.000
0.000 0.000 5.522
In As Cl
3 1 1
direct
0.000 0.000 0.500 In
0.000 0.500 0.000 In
0.500 0.000 0.000 In
0.000 0.000 0.000 As
0.500 0.500 0.500 Cl
```

Computed properties:
N(E_F) in states/eV per atom: 0.47
Space group: No. 221
Spin magnetization in μB/cell: 0.00


b) Below is In3AsCl after structural relaxation, with properties calculated at the PBE level.

```
In3AsCl
1.0
5.574 0.000 0.000
0.000 5.574 0.000
0.000 0.000 5.574
In As Cl
3 1 1
direct
0.000 0.000 0.500 In
0.000 0.500 0.000 In
0.500 0.000 0.000 In
0.500 0.500 0.500 As
0.000 0.000 0.000 Cl
```

Computed properties:
N(E_F) in states/eV per atom: 1.11
Space group: No. 221
Spin magnetization in μB/cell: 0.00


Structures ranked by computed energy, the most stable listed first: a), b).


a) Below is InAsCl3 after structural relaxation, with properties calculated at the PBE level.

```
InAsCl3
1.0
5.197 0.000 0.000
0.000 5.197 0.000
0.000 0.000 5.197
In As Cl
1 1 3
direct
0.000 0.000 0.000 In
0.500 0.500 0.500 As
0.000 0.500 0.500 Cl
0.500 0.000 0.500 Cl
0.500 0.500 0.000 Cl
```

Computed properties:
N(E_F) in states/eV per atom: 0.37
Space group: No. 221
Spin magnetization in μB/cell: 0.00


b) Below is InAsCl3 after structural relaxation, with properties calculated at the PBE level.

```
InAsCl3
1.0
5.232 0.000 0.000
0.000 5.232 0.000
0.000 0.000 5.232
In As Cl
1 1 3
direct
0.000 0.000 0.000 In
0.500 0.500 0.500 As
0.000 0.000 0.500 Cl
0.000 0.500 0.000 Cl
0.500 0.000 0.000 Cl
```

Computed properties:
N(E_F) in states/eV per atom: 1.44
Space group: No. 221
Spin magnetization in μB/cell: 2.59


Structures ranked by computed energy, the most stable listed first: a), b).